Ce4ReHg: optimized geometry, GGA-PBE.

Calculated values
**DFT formation energy**: -110 meV/atom
**Calculated total energy**: -74.3 eV per cell

Unit cell a=5.966 b=7.567 c=7.567 alpha=110.46 beta=99.77 gamma=99.77
Fractional positions:
Ce  0.849  0.628  0.825
Ce  0.074  0.934  0.309
Ce  0.651  0.175  0.372
Ce  0.426  0.691  0.066
Ce  0.574  0.309  0.934
Ce  0.349  0.825  0.628
Ce  0.926  0.066  0.691
Ce  0.151  0.372  0.175
Re  0.250  0.004  0.996
Re  0.750  0.996  0.004
Hg  0.750  0.608  0.392
Hg  0.250  0.392  0.608